P.
A plane-wave DFT calculation with PBE was carried out for an optimized crystal structure of CaBiI2N.

Cell and atoms, written as CIF:
```
data_CaBiI2N
_cell_length_a 6.471
_cell_length_b 6.471
_cell_length_c 4.229
_cell_angle_alpha 90.00
_cell_angle_beta 90.00
_cell_angle_gamma 90.00
_symmetry_space_group_name_H-M 'P 1'
_symmetry_Int_Tables_number 1
loop_
_symmetry_equiv_pos_as_xyz
'x,y,z'
loop_
_atom_site_label
_atom_site_fract_x
_atom_site_fract_y
_atom_site_fract_z
Ca1 0.000 0.000 0.000
Bi1 0.500 0.500 0.500
I1 0.000 0.500 0.500
I2 0.500 0.000 0.500
N1 0.500 0.500 0.000
```

Summary:
DOS(E_F) = 0.344 states/eV/atom



Q.
A plane-wave DFT calculation with PBE was carried out for an optimized crystal structure of CaBiI2N.

Cell and atoms, written as CIF:
```
data_CaBiI2N
_cell_length_a 6.142
_cell_length_b 6.142
_cell_length_c 4.183
_cell_angle_alpha 90.00
_cell_angle_beta 90.00
_cell_angle_gamma 90.00
_symmetry_space_group_name_H-M 'P 1'
_symmetry_Int_Tables_number 1
loop_
_symmetry_equiv_pos_as_xyz
'x,y,z'
loop_
_atom_site_label
_atom_site_fract_x
_atom_site_fract_y
_atom_site_fract_z
Ca1 0.000 0.000 0.000
Bi1 0.500 0.500 0.500
I1 0.000 0.500 0.000
I2 0.500 0.000 0.000
N1 0.000 0.000 0.500
```

Summary:
DOS(E_F) = 1.522 states/eV/atom



Stability, highest: P



P.
A plane-wave DFT calculation with PBE was carried out for an optimized crystal structure of Ca2InBi.

Cell and atoms, written as CIF:
```
data_Ca2InBi
_cell_length_a 7.091
_cell_length_b 7.091
_cell_length_c 7.091
_cell_angle_alpha 105.07
_cell_angle_beta 105.07
_cell_angle_gamma 118.68
_symmetry_space_group_name_H-M 'P 1'
_symmetry_Int_Tables_number 1
loop_
_symmetry_equiv_pos_as_xyz
'x,y,z'
loop_
_atom_site_label
_atom_site_fract_x
_atom_site_fract_y
_atom_site_fract_z
Ca1 0.118 0.125 0.493
Ca2 0.375 0.882 0.007
Ca3 0.632 0.625 0.507
Ca4 0.875 0.368 0.993
In1 0.250 0.750 0.500
In2 0.500 0.500 0.000
Bi1 0.000 0.000 0.000
Bi2 0.750 0.250 0.500
```

Summary:
DOS(E_F) = 0.660 states/eV/atom



Q.
A plane-wave DFT calculation with PBE was carried out for an optimized crystal structure of Ca2InBi.

Cell and atoms, written as CIF:
```
data_Ca2InBi
_cell_length_a 5.565
_cell_length_b 5.565
_cell_length_c 5.565
_cell_angle_alpha 60.00
_cell_angle_beta 60.00
_cell_angle_gamma 60.00
_symmetry_space_group_name_H-M 'P 1'
_symmetry_Int_Tables_number 1
loop_
_symmetry_equiv_pos_as_xyz
'x,y,z'
loop_
_atom_site_label
_atom_site_fract_x
_atom_site_fract_y
_atom_site_fract_z
Ca1 0.250 0.250 0.250
Ca2 0.750 0.750 0.750
In1 0.000 0.000 0.000
Bi1 0.500 0.500 0.500
```

Summary:
DOS(E_F) = 0.639 states/eV/atom



R.
A plane-wave DFT calculation with PBE was carried out for an optimized crystal structure of Ca2InBi.

Cell and atoms, written as CIF:
```
data_Ca2InBi
_cell_length_a 9.859
_cell_length_b 6.752
_cell_length_c 9.930
_cell_angle_alpha 90.00
_cell_angle_beta 120.15
_cell_angle_gamma 90.00
_symmetry_space_group_name_H-M 'P 1'
_symmetry_Int_Tables_number 1
loop_
_symmetry_equiv_pos_as_xyz
'x,y,z'
loop_
_atom_site_label
_atom_site_fract_x
_atom_site_fract_y
_atom_site_fract_z
Ca1 0.145 0.250 0.073
Ca2 0.145 0.250 0.573
Ca3 0.221 0.727 0.359
Ca4 0.221 0.773 0.859
Ca5 0.779 0.227 0.141
Ca6 0.779 0.273 0.641
Ca7 0.855 0.750 0.427
Ca8 0.855 0.750 0.927
In1 0.376 0.162 0.439
In2 0.376 0.338 0.939
In3 0.624 0.662 0.061
In4 0.624 0.838 0.561
Bi1 0.499 0.501 0.693
Bi2 0.499 0.999 0.193
Bi3 0.501 0.001 0.807
Bi4 0.501 0.499 0.307
```

Summary:
DOS(E_F) = 0.727 states/eV/atom



Stability, highest: Q



P.
A plane-wave DFT calculation with PBE was carried out for an optimized crystal structure of Ca2InBi.

Cell and atoms, written as CIF:
```
data_Ca2InBi
_cell_length_a 4.048
_cell_length_b 4.048
_cell_length_c 7.398
_cell_angle_alpha 90.00
_cell_angle_beta 90.00
_cell_angle_gamma 90.00
_symmetry_space_group_name_H-M 'P 1'
_symmetry_Int_Tables_number 1
loop_
_symmetry_equiv_pos_as_xyz
'x,y,z'
loop_
_atom_site_label
_atom_site_fract_x
_atom_site_fract_y
_atom_site_fract_z
Ca1 0.000 0.000 0.246
Ca2 0.000 0.000 0.754
In1 0.500 0.500 0.500
Bi1 0.500 0.500 0.000
```

Summary:
DOS(E_F) = 0.520 states/eV/atom



Q.
A plane-wave DFT calculation with PBE was carried out for an optimized crystal structure of Ca2InBi.

Cell and atoms, written as CIF:
```
data_Ca2InBi
_cell_length_a 5.218
_cell_length_b 5.218
_cell_length_c 4.417
_cell_angle_alpha 90.00
_cell_angle_beta 90.00
_cell_angle_gamma 90.00
_symmetry_space_group_name_H-M 'P 1'
_symmetry_Int_Tables_number 1
loop_
_symmetry_equiv_pos_as_xyz
'x,y,z'
loop_
_atom_site_label
_atom_site_fract_x
_atom_site_fract_y
_atom_site_fract_z
Ca1 0.000 0.500 0.000
Ca2 0.500 0.000 0.000
In1 0.000 0.000 0.500
Bi1 0.500 0.500 0.500
```

Summary:
DOS(E_F) = 0.457 states/eV/atom



Stability, highest: Q



P.
A plane-wave DFT calculation with PBE was carried out for an optimized crystal structure of CaInBi.

Cell and atoms, written as CIF:
```
data_CaInBi
_cell_length_a 5.688
_cell_length_b 5.688
_cell_length_c 6.599
_cell_angle_alpha 90.00
_cell_angle_beta 90.00
_cell_angle_gamma 119.90
_symmetry_space_group_name_H-M 'P 1'
_symmetry_Int_Tables_number 1
loop_
_symmetry_equiv_pos_as_xyz
'x,y,z'
loop_
_atom_site_label
_atom_site_fract_x
_atom_site_fract_y
_atom_site_fract_z
Ca1 0.167 0.833 0.750
Ca2 0.833 0.167 0.250
In1 0.500 0.500 0.000
In2 0.500 0.500 0.500
Bi1 0.167 0.833 0.250
Bi2 0.833 0.167 0.750
```

Summary:
DOS(E_F) = 0.529 states/eV/atom



Q.
A plane-wave DFT calculation with PBE was carried out for an optimized crystal structure of CaInBi.

Cell and atoms, written as CIF:
```
data_CaInBi
_cell_length_a 5.758
_cell_length_b 5.758
_cell_length_c 5.758
_cell_angle_alpha 135.01
_cell_angle_beta 135.01
_cell_angle_gamma 65.52
_symmetry_space_group_name_H-M 'P 1'
_symmetry_Int_Tables_number 1
loop_
_symmetry_equiv_pos_as_xyz
'x,y,z'
loop_
_atom_site_label
_atom_site_fract_x
_atom_site_fract_y
_atom_site_fract_z
Ca1 0.000 0.000 0.000
In1 0.328 0.328 0.000
Bi1 0.654 0.654 0.000
```

Summary:
DOS(E_F) = 0.541 states/eV/atom



Stability, highest: P